Computed, not measured: a geometry-optimized IrOsBr structure at the GGA-PBE level of DFT.

Cell: 3.7343 3.7343 5.6423 Å, 90.00 90.00 120.00°
Sites, in units of the cell vectors:
Os (0.3333, 0.6667, 0.6243)
Br (0.0000, 0.0000, 0.9342)
Ir (0.6667, 0.3333, 0.4415)

E above lowest polymorph	0.0	meV/atom
space group	P3m1 (156)



Computed, not measured: a geometry-optimized BeReHg2 structure at the GGA-PBE level of DFT.

Cell: 2.8686 2.8686 8.0086 Å, 90.00 90.00 90.00°
Sites, in units of the cell vectors:
Hg (0.0000, 0.0000, 0.5259)
Hg (0.0000, 0.0000, 0.9741)
Be (0.5000, 0.5000, 0.7500)
Re (0.5000, 0.5000, 0.2500)

ΔE_f	896	meV per atom
space group	P4/mmm (123)



Fermi-level density of states
In order: 3.144 2.808
Unit: states/eV/f.u.
V
In order: 22.71 16.48
Unit: A^3/atom